Li7HoTl4: relaxed, PBE-GGA.

Lattice parameters (Å, degrees): 5.2800 9.1961 6.1139 84.31 64.42 73.32
With the nearest neighbours (Å) after each atom.
Element x y z (fractional)
1 Li 0.0429 0.6214 0.2928  4 Li 2.75-3.08, 1 Tl 2.90
2 Li 0.2213 0.1052 0.4522  2 Li 2.64-2.75, 4 Tl 2.69-2.84
3 Li 0.9571 0.3786 0.7072  4 Li 2.75-3.08, 1 Tl 2.90
4 Li 0.7787 0.8948 0.5478  2 Li 2.64-2.75, 4 Tl 2.69-2.84
5 Li 0.6587 0.4428 0.2398  4 Tl 2.83-2.98, 4 Li 2.98-3.08
6 Li 0.3413 0.5572 0.7602  4 Tl 2.83-2.98, 4 Li 2.98-3.08
7 Li 0.5000 0.0000 0.0000  2 Li 2.64, 2 Ho 2.64, 2 Tl 2.79
8 Ho 0.0000 0.0000 0.0000  2 Li 2.64
9 Tl 0.3837 0.7995 0.4331  5 Li 2.69-3.01
10 Tl 0.6163 0.2005 0.5669  5 Li 2.69-3.01
11 Tl 0.7049 0.6877 0.9026  6 Li 2.71-2.98
12 Tl 0.2951 0.3123 0.0974  6 Li 2.71-2.98

## Properties
Calculated volume ... 21.37 Å³/atom
Energy of formation from the pure elements ... -65.2 meV per atom
Space group ... C2/m